# 1
4
Lattice="-3.8736 -0.4241 0.5435 0.0932 -3.3958 -1.9851 1.3400 -3.8088 6.5784" Properties=species:S:1:pos:R:3 comment="KIn2Sb GGA-PBEsol relaxed" magnetic_moment_mub_per_cell=0.00 formation_energy_uncorrected_ev_per_atom=-0.162 pbc="T T T"
In -1.6247 -2.6647 0.5828
In 1.3223 -3.7583 6.4911
Sb -0.8037 -4.9981 4.6130
K 0.6758 -1.9208 3.3176

---

# 2
4
Lattice="3.4226 0.0000 0.0000 0.0000 4.9716 0.0000 0.0000 0.0000 6.9484" Properties=species:S:1:pos:R:3 comment="KInSb2 GGA-PBEsol relaxed" magnetic_moment_mub_per_cell=0.00 formation_energy_uncorrected_ev_per_atom=-0.124 pbc="T T T"
K 1.7113 2.4858 0.0000
In 1.7113 2.4858 3.4742
Sb 0.0000 0.0000 2.0395
Sb 0.0000 0.0000 4.9089

---

# 3
4
Lattice="4.0900 0.0000 0.0000 0.0000 4.0900 0.0000 0.0000 0.0000 7.2229" Properties=species:S:1:pos:R:3 comment="KInSb2 GGA-PBEsol relaxed" magnetic_moment_mub_per_cell=0.00 formation_energy_uncorrected_ev_per_atom=-0.136 pbc="T T T"
Sb 0.0000 0.0000 1.4076
Sb 0.0000 0.0000 5.8153
K 2.0450 2.0450 3.6115
In 2.0450 2.0450 0.0000